KPtPb | SCAN | PBEsol geometry

Cell: 5.0970 5.0970 3.1277 Å, 90.00 90.00 120.00°
With the nearest neighbours (Å) after each atom.
Fractional coordinates of all 3 atoms:
K  0.0000  0.0000  0.0000  2 K 3.13, 6 Pb 3.33, 6 Pt 3.33
Pt  0.3333  0.6667  0.5000  3 Pb 2.94, 2 Pt 3.13
Pb  0.6667  0.3333  0.5000  3 Pt 2.94, 2 Pb 3.13

## Properties
Crystal system: hexagonal
Formation energy from the elements, meV/atom: -19.8
Magnetization, Bohr magnetons per cell: 0.0
DFT total energy, eV per atom: -51.4541
Volume, Å³ per atom: 23.5
Symmetry: P-6m2